[1]
A plane-wave DFT calculation with PBE was carried out for an optimized crystal structure of V3HN.

a = 5.7994 Å, b = 5.7994 Å, c = 5.7994 Å
α = 90.00°, β = 90.00°, γ = 90.00°
Sites, in units of the cell vectors:
V: 0.0175 0.2529 0.3722
V: 0.1278 0.9825 0.7529
V: 0.2471 0.6278 0.5175
V: 0.2529 0.3722 0.0175
V: 0.3722 0.0175 0.2529
V: 0.4825 0.7471 0.8722
V: 0.5175 0.2471 0.6278
V: 0.6278 0.5175 0.2471
V: 0.7471 0.8722 0.4825
V: 0.7529 0.1278 0.9825
V: 0.8722 0.4825 0.7471
V: 0.9825 0.7529 0.1278
H: 0.1585 0.3415 0.6585
H: 0.3415 0.6585 0.1585
H: 0.6585 0.1585 0.3415
H: 0.8415 0.8415 0.8415
N: 0.0858 0.9142 0.4142
N: 0.4142 0.0858 0.9142
N: 0.5858 0.5858 0.5858
N: 0.9142 0.4142 0.0858

The energy above the lowest structure with this stoichiometry comes out at 0.0 kJ per mole of atoms.

---

[2]
A plane-wave DFT calculation with PBE was carried out for an optimized crystal structure of Ce2ScGe4Pd3.

a = 4.2639 Å, b = 4.2639 Å, c = 11.0198 Å
α = 90.00°, β = 90.00°, γ = 90.00°
Sites, in units of the cell vectors:
Ce: 0.0000 0.5000 0.2358
Ce: 0.5000 0.0000 0.7642
Sc: 0.0000 0.0000 0.5000
Ge: 0.0000 0.0000 0.0000
Ge: 0.0000 0.5000 0.6510
Ge: 0.5000 0.0000 0.3490
Ge: 0.5000 0.5000 0.0000
Pd: 0.0000 0.5000 0.8759
Pd: 0.5000 0.0000 0.1241
Pd: 0.5000 0.5000 0.5000

The formation energy comes out at -0.79 eV per atom.

---

[3]
A plane-wave DFT calculation with PBE was carried out for an optimized crystal structure of CaNd6Y8.

a = 8.3255 Å, b = 8.3255 Å, c = 8.3255 Å
α = 72.23°, β = 72.23°, γ = 72.23°
Sites, in units of the cell vectors:
Ca: 0.0000 0.0000 0.0000
Nd: 0.1709 0.6171 0.4345
Nd: 0.3829 0.5655 0.8291
Nd: 0.4345 0.1709 0.6171
Nd: 0.5655 0.8291 0.3829
Nd: 0.6171 0.4345 0.1709
Nd: 0.8291 0.3829 0.5655
Y: 0.0524 0.3741 0.8667
Y: 0.1333 0.9476 0.6259
Y: 0.2368 0.2368 0.2368
Y: 0.3741 0.8667 0.0524
Y: 0.6259 0.1333 0.9476
Y: 0.7632 0.7632 0.7632
Y: 0.8667 0.0524 0.3741
Y: 0.9476 0.6259 0.1333

The formation energy comes out at 0.18 eV per atom.

---

| no. | calculated total energy (eV/atom) |
| --- | --- |
| 1 | -8.24 |
| 2 | -6.02 |
| 3 | -5.31 |